Record 1
Crystalline NaGaTc at its relaxed geometry. Source: Alexandria via LeMat-Bulk, functional PBE.

Summary:
DOS(E_F) = 3.96 states/eV per cell
ΔE to the lowest computed polymorph = 134 meV/atom
Space group = P2_1/m, No. 11
Energy of formation = 0.27 eV per formula unit

Structure (POSCAR):
```
NaGaTc
1.0
2.8743 0.0000 -0.0067
0.0000 4.0963 0.0000
-1.4230 0.0000 10.5567
Na Ga Tc
2 2 2
Direct
0.1791 0.2500 0.8637
0.8209 0.7500 0.1363
0.4173 0.2500 0.3345
0.5827 0.7500 0.6655
0.9672 0.7500 0.4346
0.0328 0.2500 0.5654
```

=====

Record 2
Crystalline NaGaTc at its relaxed geometry. Source: Alexandria via LeMat-Bulk, functional PBE.

Summary:
DOS(E_F) = 5.52 states/eV per cell
ΔE to the lowest computed polymorph = 147 meV/atom
Space group = P1, No. 1
Energy of formation = 0.31 eV per formula unit

Structure (POSCAR):
```
NaGaTc
1.0
2.9226 0.0247 0.0000
1.4669 2.5557 0.0062
0.1764 -0.0451 14.7747
Na Tc Ga
2 2 2
Direct
0.5702 0.5217 0.1220
0.2189 0.1763 0.9044
0.9145 0.8426 0.4463
0.2347 0.1782 0.5811
0.2484 0.1789 0.2995
0.5560 0.5132 0.7278
```